Below is an optimized crystal structure of NbBAsSe2, with properties calculated at the PBE level.

Properties
The uncorrected energy is -4.755 eV per atom. The energy relative to the elements, uncorrected comes out at 918 meV per atom. As for the energy above the most stable polymorph in this dataset: 20.6 kJ per mole of atoms. The total magnetization is 0.00 μB per formula unit.

a b c (Å): 5.0122 5.0122 5.0717
angles (deg): 90.00 90.00 90.00
Sites, in units of the cell vectors:
Nb (0.0000, 0.0000, 0.0000)
B (0.5000, 0.5000, 0.5000)
As (0.0000, 0.0000, 0.5000)
Se (0.0000, 0.5000, 0.0000)
Se (0.5000, 0.0000, 0.0000)